Material: LiHS3
Method: DFT, PBE
State: relaxed

a = 4.384 Å, b = 4.384 Å, c = 4.384 Å
α = 90.00°, β = 90.00°, γ = 90.00°
Element x y z (fractional)
Li 0.000 0.000 0.000
H 0.500 0.500 0.500
S 0.000 0.000 0.500
S 0.000 0.500 0.000
S 0.500 0.000 0.000

- Crystal system: cubic
- E: -12.35 eV for the cell shown
- Offset from the most stable computed form: 542 meV/atom
- V: 16.854 A^3/atom
- M_tot: 0.64 Bohr magnetons per cell
- Theoretical density: 2.05 Mg/m³

=====

Material: LiHS2
Method: DFT, PBE
State: relaxed

a = 4.136 Å, b = 4.136 Å, c = 4.136 Å
α = 60.00°, β = 60.00°, γ = 60.00°
Element x y z (fractional)
Li 0.000 0.000 0.000
H 0.500 0.500 0.500
S 0.250 0.250 0.250
S 0.750 0.750 0.750

- Crystal system: cubic
- E: -11.59 eV for the cell shown
- Offset from the most stable computed form: 536 meV/atom
- V: 12.506 A^3/atom
- M_tot: 0.00 Bohr magnetons per cell
- Theoretical density: 2.39 Mg/m³

=====

Material: Li2H6S
Method: DFT, PBE
State: relaxed

a = 4.810 Å, b = 4.810 Å, c = 4.810 Å
α = 60.00°, β = 60.00°, γ = 60.00°
Element x y z (fractional)
Li 0.250 0.250 0.250
Li 0.750 0.750 0.750
H 0.241 0.241 0.759
H 0.241 0.759 0.241
H 0.241 0.759 0.759
H 0.759 0.241 0.241
H 0.759 0.241 0.759
H 0.759 0.759 0.241
S 0.000 0.000 0.000

- Crystal system: cubic
- E: -24.84 eV for the cell shown
- V: 8.743 A^3/atom
- M_tot: 0.00 Bohr magnetons per cell
- Theoretical density: 1.10 Mg/m³

=====

Material: LiHS5
Method: DFT, PBE
State: relaxed

a = 9.941 Å, b = 9.941 Å, c = 7.143 Å
α = 95.25°, β = 95.25°, γ = 147.89°
Element x y z (fractional)
Li 0.000 0.000 0.000
Li 0.000 0.000 0.500
H 0.003 0.997 0.750
H 0.997 0.003 0.250
S 0.167 0.504 0.396
S 0.204 0.429 0.629
S 0.405 0.595 0.250
S 0.429 0.204 0.129
S 0.496 0.833 0.104
S 0.504 0.167 0.896
S 0.571 0.796 0.871
S 0.595 0.405 0.750
S 0.796 0.571 0.371
S 0.833 0.496 0.604

- Crystal system: monoclinic
- E: -50.85 eV for the cell shown
- V: 25.294 A^3/atom
- M_tot: 0.00 Bohr magnetons per cell
- Theoretical density: 1.58 Mg/m³

=====

Material: Li2H2S
Method: DFT, PBE
State: relaxed

a = 5.849 Å, b = 5.849 Å, c = 3.331 Å
α = 90.00°, β = 90.00°, γ = 90.00°
Element x y z (fractional)
Li 0.234 0.266 0.000
Li 0.266 0.766 0.000
Li 0.734 0.234 0.000
Li 0.766 0.734 0.000
H 0.047 0.547 0.500
H 0.453 0.047 0.500
H 0.547 0.953 0.500
H 0.953 0.453 0.500
S 0.000 0.000 0.500
S 0.500 0.500 0.500

- Crystal system: tetragonal
- E: -34.49 eV for the cell shown
- Offset from the most stable computed form: 180 meV/atom
- V: 11.395 A^3/atom
- M_tot: 0.00 Bohr magnetons per cell
- Theoretical density: 1.40 Mg/m³

=====

Material: Li2H2S
Method: DFT, PBE
State: relaxed

a = 4.328 Å, b = 4.328 Å, c = 4.328 Å
α = 122.60°, β = 122.60°, γ = 85.55°
Element x y z (fractional)
Li 0.250 0.750 0.500
Li 0.750 0.250 0.500
H 0.229 0.229 0.000
H 0.771 0.771 0.000
S 0.500 0.500 0.000

- Crystal system: tetragonal
- E: -16.47 eV for the cell shown
- Offset from the most stable computed form: 334 meV/atom
- V: 10.976 A^3/atom
- M_tot: 0.00 Bohr magnetons per cell
- Theoretical density: 1.45 Mg/m³

=====

Material: LiH2S
Method: DFT, PBE
State: relaxed

a = 4.056 Å, b = 4.056 Å, c = 4.056 Å
α = 49.32°, β = 49.32°, γ = 49.32°
Element x y z (fractional)
Li 0.000 0.000 0.000
H 0.214 0.214 0.214
H 0.786 0.786 0.786
S 0.500 0.500 0.500

- Crystal system: trigonal
- E: -11.99 eV for the cell shown
- Offset from the most stable computed form: 528 meV/atom
- V: 8.817 A^3/atom
- M_tot: 0.00 Bohr magnetons per cell
- Theoretical density: 1.93 Mg/m³

=====

Material: Li3HS2
Method: DFT, PBE
State: relaxed

a = 6.655 Å, b = 6.655 Å, c = 6.655 Å
α = 132.66°, β = 75.15°, γ = 125.35°
Element x y z (fractional)
Li 0.006 0.750 0.256
Li 0.250 0.250 0.000
Li 0.494 0.750 0.744
Li 0.506 0.250 0.256
Li 0.750 0.750 0.000
Li 0.994 0.250 0.744
H 0.000 0.500 0.500
H 0.500 0.000 0.500
S 0.115 0.727 0.841
S 0.385 0.227 0.612
S 0.615 0.773 0.388
S 0.885 0.273 0.159

- Crystal system: orthorhombic
- E: -46.01 eV for the cell shown
- V: 14.349 A^3/atom
- M_tot: 0.00 Bohr magnetons per cell
- Theoretical density: 1.66 Mg/m³

=====

Material: Li2HS
Method: DFT, PBE
State: relaxed

a = 4.070 Å, b = 4.070 Å, c = 4.070 Å
α = 60.00°, β = 60.00°, γ = 60.00°
Element x y z (fractional)
Li 0.250 0.250 0.250
Li 0.750 0.750 0.750
H 0.000 0.000 0.000
S 0.500 0.500 0.500

- Crystal system: cubic
- E: -13.25 eV for the cell shown
- Offset from the most stable computed form: 0 meV/atom
- V: 11.922 A^3/atom
- M_tot: 0.79 Bohr magnetons per cell
- Theoretical density: 1.63 Mg/m³

=====

Material: Li2HS
Method: DFT, PBE
State: relaxed

a = 5.145 Å, b = 5.145 Å, c = 5.145 Å
α = 115.11°, β = 115.11°, γ = 98.70°
Element x y z (fractional)
Li 0.033 0.625 0.908
Li 0.375 0.283 0.408
Li 0.717 0.125 0.092
Li 0.875 0.967 0.592
H 0.000 0.000 0.000
H 0.750 0.250 0.500
S 0.250 0.750 0.500
S 0.500 0.500 0.000

- Crystal system: tetragonal
- E: -25.95 eV for the cell shown
- Offset from the most stable computed form: 69 meV/atom
- V: 12.770 A^3/atom
- M_tot: 0.00 Bohr magnetons per cell
- Theoretical density: 1.53 Mg/m³

=====

Material: Li2H2S
Method: DFT, PBE
State: relaxed

a = 3.917 Å, b = 3.917 Å, c = 6.347 Å
α = 108.28°, β = 108.28°, γ = 60.02°
Element x y z (fractional)
Li 0.211 0.211 0.131
Li 0.789 0.789 0.869
H 0.022 0.022 0.564
H 0.978 0.978 0.436
S 0.500 0.500 0.000

- Crystal system: monoclinic
- E: -18.15 eV for the cell shown
- Offset from the most stable computed form: 0 meV/atom
- V: 15.726 A^3/atom
- M_tot: 0.00 Bohr magnetons per cell
- Theoretical density: 1.01 Mg/m³

=====

Material: Li3HS
Method: DFT, PBE
State: relaxed

a = 6.537 Å, b = 5.405 Å, c = 8.091 Å
α = 90.00°, β = 108.06°, γ = 90.00°
Element x y z (fractional)
Li 0.003 0.006 0.335
Li 0.003 0.494 0.835
Li 0.307 0.019 0.072
Li 0.307 0.481 0.572
Li 0.372 0.511 0.099
Li 0.372 0.989 0.599
Li 0.628 0.011 0.401
Li 0.628 0.489 0.901
Li 0.693 0.519 0.428
Li 0.693 0.981 0.928
Li 0.997 0.506 0.165
Li 0.997 0.994 0.665
H 0.137 0.198 0.537
H 0.137 0.302 0.037
H 0.863 0.698 0.963
H 0.863 0.802 0.463
S 0.317 0.748 0.830
S 0.317 0.752 0.330
S 0.683 0.248 0.670
S 0.683 0.252 0.170

- Crystal system: monoclinic
- E: -71.11 eV for the cell shown
- Offset from the most stable computed form: 16 meV/atom
- V: 13.589 A^3/atom
- M_tot: 0.00 Bohr magnetons per cell
- Theoretical density: 1.32 Mg/m³

=====

Material: LiH2S
Method: DFT, PBE
State: relaxed

a = 3.612 Å, b = 3.612 Å, c = 3.612 Å
α = 60.00°, β = 60.00°, γ = 60.00°
Element x y z (fractional)
Li 0.000 0.000 0.000
H 0.250 0.250 0.250
H 0.750 0.750 0.750
S 0.500 0.500 0.500

- Crystal system: cubic
- E: -11.67 eV for the cell shown
- Offset from the most stable computed form: 609 meV/atom
- V: 8.330 A^3/atom
- M_tot: 0.00 Bohr magnetons per cell
- Theoretical density: 2.04 Mg/m³

=====

Material: LiH2S8
Method: DFT, PBE
State: relaxed

a = 8.368 Å, b = 8.368 Å, c = 6.867 Å
α = 105.86°, β = 105.86°, γ = 35.29°
Element x y z (fractional)
Li 0.000 0.000 0.000
H 0.272 0.272 0.382
H 0.728 0.728 0.618
S 0.146 0.644 0.722
S 0.215 0.215 0.193
S 0.356 0.854 0.278
S 0.487 0.487 0.345
S 0.513 0.513 0.655
S 0.644 0.146 0.722
S 0.785 0.785 0.807
S 0.854 0.356 0.278

- Crystal system: monoclinic
- E: -40.75 eV for the cell shown
- V: 24.190 A^3/atom
- M_tot: 0.65 Bohr magnetons per cell
- Theoretical density: 1.66 Mg/m³

=====

Material: LiHS2
Method: DFT, PBE
State: relaxed

a = 6.887 Å, b = 6.887 Å, c = 6.887 Å
α = 141.65°, β = 141.65°, γ = 55.36°
Element x y z (fractional)
Li 0.000 0.000 0.000
Li 0.750 0.250 0.500
H 0.250 0.750 0.500
H 0.500 0.500 0.000
S 0.303 0.625 0.178
S 0.375 0.553 0.678
S 0.447 0.125 0.822
S 0.875 0.697 0.322

- Crystal system: tetragonal
- E: -27.39 eV for the cell shown
- Offset from the most stable computed form: 10 meV/atom
- V: 15.604 A^3/atom
- M_tot: 0.00 Bohr magnetons per cell
- Theoretical density: 1.92 Mg/m³

=====

Material: LiH2S6
Method: DFT, PBE
State: relaxed

a = 7.431 Å, b = 7.977 Å, c = 6.581 Å
α = 90.00°, β = 92.54°, γ = 90.00°
Element x y z (fractional)
Li 0.000 0.000 0.000
Li 0.000 0.500 0.500
H 0.483 0.159 0.953
H 0.483 0.341 0.453
H 0.517 0.659 0.547
H 0.517 0.841 0.047
S 0.031 0.739 0.217
S 0.031 0.761 0.717
S 0.227 0.162 0.291
S 0.227 0.338 0.791
S 0.409 0.138 0.762
S 0.409 0.362 0.262
S 0.591 0.638 0.738
S 0.591 0.862 0.238
S 0.773 0.662 0.209
S 0.773 0.838 0.709
S 0.969 0.239 0.283
S 0.969 0.261 0.783

- Crystal system: monoclinic
- E: -68.97 eV for the cell shown
- V: 21.653 A^3/atom
- M_tot: 0.00 Bohr magnetons per cell
- Theoretical density: 1.72 Mg/m³

=====

Material: LiHS2
Method: DFT, PBE
State: relaxed

a = 6.924 Å, b = 6.924 Å, c = 6.924 Å
α = 25.51°, β = 25.51°, γ = 25.51°
Element x y z (fractional)
Li 0.000 0.000 0.000
H 0.500 0.500 0.500
S 0.419 0.419 0.419
S 0.581 0.581 0.581

- Crystal system: trigonal
- E: -13.74 eV for the cell shown
- Offset from the most stable computed form: 0 meV/atom
- V: 13.548 A^3/atom
- M_tot: 0.00 Bohr magnetons per cell
- Theoretical density: 2.21 Mg/m³

=====

Material: Li2TeHS
Method: DFT, PBE
State: relaxed

a = 5.106 Å, b = 5.106 Å, c = 3.427 Å
α = 90.00°, β = 90.00°, γ = 90.00°
Element x y z (fractional)
Li 0.000 0.500 0.000
Li 0.500 0.000 0.000
Te 0.000 0.000 0.517
H 0.500 0.500 0.435
S 0.500 0.500 0.041

- Crystal system: tetragonal
- E: -17.67 eV for the cell shown
- V: 17.868 A^3/atom
- M_tot: 0.00 Bohr magnetons per cell
- Theoretical density: 3.24 Mg/m³

=====

Material: Li2HWS
Method: DFT, PBE
State: relaxed

a = 3.667 Å, b = 3.667 Å, c = 4.005 Å
α = 90.00°, β = 90.00°, γ = 90.00°
Element x y z (fractional)
Li 0.000 0.500 0.000
Li 0.500 0.000 0.000
H 0.000 0.000 0.000
W 0.000 0.000 0.500
S 0.500 0.500 0.500

- Crystal system: tetragonal
- E: -23.76 eV for the cell shown
- V: 10.770 A^3/atom
- M_tot: 0.00 Bohr magnetons per cell
- Theoretical density: 7.12 Mg/m³

=====

Material: LiSb2H2
Method: DFT, PBE
State: relaxed

a = 7.669 Å, b = 7.669 Å, c = 7.669 Å
α = 155.40°, β = 155.40°, γ = 35.06°
Element x y z (fractional)
Li 0.000 0.000 0.000
Sb 0.360 0.360 0.000
Sb 0.640 0.640 0.000
H 0.250 0.750 0.500
H 0.750 0.250 0.500

- Crystal system: tetragonal
- E: -15.29 eV for the cell shown
- Offset from the most stable computed form: 0 meV/atom
- V: 15.610 A^3/atom
- M_tot: 0.00 Bohr magnetons per cell
- Theoretical density: 5.37 Mg/m³